Entry 1:
The following is a DFT calculation (PBE-GGA) of Dy3Hg2Ir after structural relaxation.

Cell and atoms, written as CIF:
```
data_Dy3Hg2Ir
_space_group_name_H-M_alt 'P 1'
_space_group_IT_number 1
_cell_length_a 5.068
_cell_length_b 8.003
_cell_length_c 7.409
_cell_angle_alpha 90.00
_cell_angle_beta 90.00
_cell_angle_gamma 71.46
loop_
_space_group_symop_operation_xyz
'x,y,z'
loop_
_atom_site_label
_atom_site_fract_x
_atom_site_fract_y
_atom_site_fract_z
_atom_site_occupancy
Hg1 0.000 0.000 0.500 1
Dy1 0.174 0.652 0.226 1
Dy2 0.500 0.000 0.765 1
Dy3 0.500 0.000 0.235 1
Dy4 0.826 0.348 0.226 1
Hg2 0.666 0.670 0.500 1
Dy5 0.826 0.348 0.774 1
Ir1 0.341 0.319 0.000 1
Dy6 0.174 0.652 0.774 1
Hg3 0.000 0.000 0.000 1
Hg4 0.334 0.330 0.500 1
Ir2 0.659 0.681 0.000 1
```

Values from the calculation:
V: 23.7 Å³/atom
magnetization: 0.000 μB per atom
SG: No. 10
final energy: -4.4996 eV/atom
energy relative to the elements: -0.621 eV/atom

=====

Entry 2:
The following is a DFT calculation (PBE-GGA) of Dy2HgIr after structural relaxation.

Cell and atoms, written as CIF:
```
data_Dy2HgIr
_space_group_name_H-M_alt 'P 1'
_space_group_IT_number 1
_cell_length_a 4.026
_cell_length_b 4.026
_cell_length_c 7.898
_cell_angle_alpha 75.24
_cell_angle_beta 75.24
_cell_angle_gamma 60.00
loop_
_space_group_symop_operation_xyz
'x,y,z'
loop_
_atom_site_label
_atom_site_fract_x
_atom_site_fract_y
_atom_site_fract_z
_atom_site_occupancy
Dy1 0.233 0.233 0.300 1
Dy2 0.767 0.767 0.700 1
Ir1 0.500 0.500 0.500 1
Hg1 0.000 0.000 0.000 1
```

Values from the calculation:
V: 26.5 Å³/atom
magnetization: 0.000 μB per atom
SG: No. 166
final energy: -5.2052 eV/atom
energy relative to the elements: -0.613 eV/atom

=====

Entry 3:
The following is a DFT calculation (PBE-GGA) of Dy4HgIr after structural relaxation.

Cell and atoms, written as CIF:
```
data_Dy4HgIr
_space_group_name_H-M_alt 'P 1'
_space_group_IT_number 1
_cell_length_a 9.586
_cell_length_b 9.586
_cell_length_c 9.586
_cell_angle_alpha 60.00
_cell_angle_beta 60.00
_cell_angle_gamma 60.00
loop_
_space_group_symop_operation_xyz
'x,y,z'
loop_
_atom_site_label
_atom_site_fract_x
_atom_site_fract_y
_atom_site_fract_z
_atom_site_occupancy
Dy1 0.560 0.940 0.560 1
Dy2 0.399 0.399 0.399 1
Ir1 0.608 0.608 0.608 1
Dy3 0.940 0.560 0.940 1
Ir2 0.608 0.608 0.177 1
Dy4 0.940 0.940 0.560 1
Hg1 0.165 0.165 0.165 1
Dy5 0.188 0.188 0.812 1
Dy6 0.399 0.803 0.399 1
Dy7 0.399 0.399 0.803 1
Dy8 0.803 0.399 0.399 1
Dy9 0.812 0.188 0.188 1
Ir3 0.177 0.608 0.608 1
Dy10 0.812 0.812 0.188 1
Dy11 0.560 0.560 0.940 1
Dy12 0.560 0.940 0.940 1
Dy13 0.812 0.188 0.812 1
Hg2 0.504 0.165 0.165 1
Hg3 0.165 0.504 0.165 1
Ir4 0.608 0.177 0.608 1
Dy14 0.188 0.812 0.812 1
Dy15 0.940 0.560 0.560 1
Hg4 0.165 0.165 0.504 1
Dy16 0.188 0.812 0.188 1
```

Values from the calculation:
V: 26.0 Å³/atom
magnetization: 0.000 μB per atom
SG: No. 216
final energy: -5.1715 eV/atom
energy relative to the elements: -0.576 eV/atom

=====

Entry 4:
The following is a DFT calculation (PBE-GGA) of Dy6Hg3Ir after structural relaxation.

Cell and atoms, written as CIF:
```
data_Dy6Hg3Ir
_space_group_name_H-M_alt 'P 1'
_space_group_IT_number 1
_cell_length_a 5.247
_cell_length_b 9.051
_cell_length_c 11.378
_cell_angle_alpha 107.96
_cell_angle_beta 90.00
_cell_angle_gamma 90.00
loop_
_space_group_symop_operation_xyz
'x,y,z'
loop_
_atom_site_label
_atom_site_fract_x
_atom_site_fract_y
_atom_site_fract_z
_atom_site_occupancy
Hg1 0.250 0.779 0.975 1
Hg2 0.750 0.591 0.215 1
Dy1 0.250 0.224 0.501 1
Hg3 0.250 0.409 0.785 1
Dy2 0.750 0.148 0.663 1
Dy3 0.750 0.887 0.145 1
Ir1 0.250 0.956 0.599 1
Dy4 0.750 0.876 0.848 1
Dy5 0.250 0.124 0.152 1
Dy6 0.750 0.322 0.335 1
Hg4 0.250 0.505 0.369 1
Dy7 0.250 0.113 0.855 1
Dy8 0.750 0.527 0.911 1
Dy9 0.750 0.776 0.499 1
Dy10 0.250 0.473 0.089 1
Ir2 0.750 0.044 0.401 1
Hg5 0.750 0.495 0.631 1
Dy11 0.250 0.852 0.337 1
Dy12 0.250 0.678 0.665 1
Hg6 0.750 0.221 0.025 1
```

Values from the calculation:
V: 25.7 Å³/atom
magnetization: 0.000 μB per atom
SG: No. 11
final energy: -4.1976 eV/atom
energy relative to the elements: -0.460 eV/atom

=====

Entry 5:
The following is a DFT calculation (PBE-GGA) of Dy5Hg2Ir2 after structural relaxation.

Cell and atoms, written as CIF:
```
data_Dy5Hg2Ir2
_space_group_name_H-M_alt 'P 1'
_space_group_IT_number 1
_cell_length_a 7.667
_cell_length_b 7.501
_cell_length_c 8.739
_cell_angle_alpha 115.42
_cell_angle_beta 90.00
_cell_angle_gamma 90.00
loop_
_space_group_symop_operation_xyz
'x,y,z'
loop_
_atom_site_label
_atom_site_fract_x
_atom_site_fract_y
_atom_site_fract_z
_atom_site_occupancy
Dy1 0.671 0.049 0.757 1
Ir1 0.867 0.369 0.000 1
Hg1 0.500 0.286 0.572 1
Hg2 0.000 0.214 0.428 1
Dy2 0.829 0.549 0.757 1
Ir2 0.633 0.869 0.000 1
Ir3 0.367 0.131 0.000 1
Dy3 0.500 0.500 0.000 1
Dy4 0.000 0.000 0.000 1
Dy5 0.671 0.292 0.243 1
Hg3 0.000 0.786 0.572 1
Dy6 0.171 0.451 0.243 1
Dy7 0.329 0.708 0.757 1
Dy8 0.829 0.792 0.243 1
Ir4 0.133 0.631 0.000 1
Dy9 0.329 0.951 0.243 1
Dy10 0.171 0.208 0.757 1
Hg4 0.500 0.714 0.428 1
```

Values from the calculation:
V: 25.2 Å³/atom
magnetization: 0.000 μB per atom
SG: No. 64
final energy: -5.2666 eV/atom
energy relative to the elements: -0.674 eV/atom

=====

Entry 6:
The following is a DFT calculation (PBE-GGA) of Dy6Hg2Ir after structural relaxation.

Cell and atoms, written as CIF:
```
data_Dy6Hg2Ir
_space_group_name_H-M_alt 'P 1'
_space_group_IT_number 1
_cell_length_a 6.903
_cell_length_b 7.417
_cell_length_c 10.229
_cell_angle_alpha 90.00
_cell_angle_beta 90.07
_cell_angle_gamma 90.00
loop_
_space_group_symop_operation_xyz
'x,y,z'
loop_
_atom_site_label
_atom_site_fract_x
_atom_site_fract_y
_atom_site_fract_z
_atom_site_occupancy
Hg1 0.957 0.404 0.751 1
Hg2 0.543 0.904 0.749 1
Dy1 0.382 0.516 0.746 1
Dy2 0.174 0.308 0.051 1
Dy3 0.882 0.984 0.246 1
Dy4 0.826 0.692 0.949 1
Hg3 0.043 0.596 0.249 1
Dy5 0.118 0.016 0.754 1
Ir1 0.000 0.000 0.500 1
Dy6 0.618 0.484 0.254 1
Ir2 0.500 0.500 0.000 1
Dy7 0.312 0.813 0.055 1
Dy8 0.188 0.313 0.445 1
Hg4 0.457 0.096 0.251 1
Dy9 0.674 0.192 0.551 1
Dy10 0.812 0.687 0.555 1
Dy11 0.326 0.808 0.449 1
Dy12 0.688 0.187 0.945 1
```

Values from the calculation:
V: 29.1 Å³/atom
magnetization: 0.000 μB per atom
SG: No. 14
final energy: -4.5066 eV/atom
energy relative to the elements: -0.387 eV/atom

=====

Entry 7:
The following is a DFT calculation (PBE-GGA) of Dy4Hg5Ir2 after structural relaxation.

Cell and atoms, written as CIF:
```
data_Dy4Hg5Ir2
_space_group_name_H-M_alt 'P 1'
_space_group_IT_number 1
_cell_length_a 3.634
_cell_length_b 7.708
_cell_length_c 9.535
_cell_angle_alpha 94.87
_cell_angle_beta 90.00
_cell_angle_gamma 90.00
loop_
_space_group_symop_operation_xyz
'x,y,z'
loop_
_atom_site_label
_atom_site_fract_x
_atom_site_fract_y
_atom_site_fract_z
_atom_site_occupancy
Dy1 0.500 0.180 0.850 1
Dy2 0.500 0.787 0.561 1
Dy3 0.500 0.820 0.150 1
Hg1 0.000 0.169 0.144 1
Hg2 0.000 0.541 0.333 1
Dy4 0.500 0.213 0.439 1
Ir1 0.000 0.080 0.641 1
Hg3 0.000 0.459 0.667 1
Hg4 0.000 0.831 0.856 1
Ir2 0.000 0.920 0.359 1
Hg5 0.000 0.500 0.000 1
```

Values from the calculation:
V: 24.2 Å³/atom
magnetization: 0.000 μB per atom
SG: No. 10
final energy: -3.9795 eV/atom
energy relative to the elements: -0.558 eV/atom

=====

Entry 8:
The following is a DFT calculation (PBE-GGA) of Dy4HgIr after structural relaxation.

Cell and atoms, written as CIF:
```
data_Dy4HgIr
_space_group_name_H-M_alt 'P 1'
_space_group_IT_number 1
_cell_length_a 6.943
_cell_length_b 7.010
_cell_length_c 7.316
_cell_angle_alpha 90.00
_cell_angle_beta 92.46
_cell_angle_gamma 90.00
loop_
_space_group_symop_operation_xyz
'x,y,z'
loop_
_atom_site_label
_atom_site_fract_x
_atom_site_fract_y
_atom_site_fract_z
_atom_site_occupancy
Ir1 0.500 0.000 0.500 1
Dy1 0.174 0.842 0.641 1
Dy2 0.370 0.853 0.182 1
Dy3 0.870 0.647 0.182 1
Dy4 0.630 0.147 0.818 1
Dy5 0.130 0.353 0.818 1
Dy6 0.326 0.342 0.359 1
Hg1 0.500 0.500 0.000 1
Dy7 0.826 0.158 0.359 1
Ir2 0.000 0.500 0.500 1
Hg2 0.000 0.000 0.000 1
Dy8 0.674 0.658 0.641 1
```

Values from the calculation:
V: 29.6 Å³/atom
magnetization: 0.000 μB per atom
SG: No. 14
final energy: -4.9949 eV/atom
energy relative to the elements: -0.400 eV/atom